Here is a relaxed structure of TbErNiPd from Alexandria via LeMat-Bulk. Energies are from PBE.

DFT formation energy	-630	meV/atom
crystal system	cubic
total magnetization	0.00	Bohr magnetons per cell
relative energy among the computed polymorphs	45	meV/atom

Unit cell a=4.875 b=4.875 c=4.875 alpha=60.00 beta=60.00 gamma=60.00
Sites, in units of the cell vectors:
1 Ni 0.250 0.250 0.250
2 Tb 0.000 0.000 0.000
3 Pd 0.750 0.750 0.750
4 Er 0.500 0.500 0.500